Record 1
VASP calculation (PBE) on a geometry-optimized MnTl2Te structure.

Properties
* ΔE to the lowest computed polymorph: 161.4 meV/atom
* total magnetic moment: 4.45 μB per formula unit
* formation energy (no corrections): 0.24 eV per atom

Geometry as CIF:
```
data_MnTl2Te
_cell_length_a 5.8236
_cell_length_b 4.3590
_cell_length_c 4.3590
_cell_angle_alpha 90.00
_cell_angle_beta 90.00
_cell_angle_gamma 90.00
_symmetry_space_group_name_H-M 'P 1'
_symmetry_Int_Tables_number 1
loop_
_symmetry_equiv_pos_as_xyz
'x,y,z'
loop_
_atom_site_label
_atom_site_type_symbol
_atom_site_fract_x
_atom_site_fract_y
_atom_site_fract_z
Tl1 Tl 0.0000 0.0000 0.0000
Tl2 Tl 0.0000 0.5000 0.5000
Mn1 Mn 0.5000 0.5000 0.0000
Te1 Te 0.5000 0.0000 0.5000
```


Record 2
VASP calculation (PBE) on a geometry-optimized Ac2MoAs structure.

Properties
* total magnetic moment: 1.63 μB per formula unit
* E_form: 11 meV per atom

Geometry as CIF:
```
data_Ac2MoAs
_cell_length_a 3.9903
_cell_length_b 5.2904
_cell_length_c 5.2904
_cell_angle_alpha 90.00
_cell_angle_beta 90.00
_cell_angle_gamma 90.00
_symmetry_space_group_name_H-M 'P 1'
_symmetry_Int_Tables_number 1
loop_
_symmetry_equiv_pos_as_xyz
'x,y,z'
loop_
_atom_site_label
_atom_site_type_symbol
_atom_site_fract_x
_atom_site_fract_y
_atom_site_fract_z
Ac1 Ac 0.0000 0.5000 0.0000
Ac2 Ac 0.0000 0.0000 0.5000
As1 As 0.5000 0.5000 0.5000
Mo1 Mo 0.5000 0.0000 0.0000
```


Record 3
VASP calculation (PBE) on a geometry-optimized ZrAlTcAu structure.

Properties
* total magnetic moment: 0.00 μB per formula unit
* E_form: -317 meV per atom

Geometry as CIF:
```
data_ZrAlTcAu
_cell_length_a 4.5978
_cell_length_b 4.5978
_cell_length_c 4.5978
_cell_angle_alpha 60.00
_cell_angle_beta 60.00
_cell_angle_gamma 60.00
_symmetry_space_group_name_H-M 'P 1'
_symmetry_Int_Tables_number 1
loop_
_symmetry_equiv_pos_as_xyz
'x,y,z'
loop_
_atom_site_label
_atom_site_type_symbol
_atom_site_fract_x
_atom_site_fract_y
_atom_site_fract_z
Tc1 Tc 0.2500 0.2500 0.2500
Zr1 Zr 0.0000 0.0000 0.0000
Au1 Au 0.7500 0.7500 0.7500
Al1 Al 0.5000 0.5000 0.5000
```


Record 4
VASP calculation (PBE) on a geometry-optimized ReTcPb2 structure.

Properties
* ΔE to the lowest computed polymorph: 0.0 meV/atom
* total magnetic moment: 0.00 μB per formula unit
* E_form: 325 meV per atom

Geometry as CIF:
```
data_ReTcPb2
_cell_length_a 3.1164
_cell_length_b 3.1164
_cell_length_c 9.4093
_cell_angle_alpha 90.00
_cell_angle_beta 90.00
_cell_angle_gamma 90.00
_symmetry_space_group_name_H-M 'P 1'
_symmetry_Int_Tables_number 1
loop_
_symmetry_equiv_pos_as_xyz
'x,y,z'
loop_
_atom_site_label
_atom_site_type_symbol
_atom_site_fract_x
_atom_site_fract_y
_atom_site_fract_z
Pb1 Pb 0.5000 0.5000 0.3143
Pb2 Pb 0.0000 0.0000 0.9347
Tc1 Tc 0.5000 0.5000 0.6959
Re1 Re 0.0000 0.0000 0.5551
```


Record 5
VASP calculation (PBE) on a geometry-optimized Zr2BiPd structure.

Properties
* total magnetic moment: 0.00 μB per formula unit
* E_form: -385 meV per atom

Geometry as CIF:
```
data_Zr2BiPd
_cell_length_a 4.4442
_cell_length_b 4.3638
_cell_length_c 4.3638
_cell_angle_alpha 90.00
_cell_angle_beta 90.00
_cell_angle_gamma 90.00
_symmetry_space_group_name_H-M 'P 1'
_symmetry_Int_Tables_number 1
loop_
_symmetry_equiv_pos_as_xyz
'x,y,z'
loop_
_atom_site_label
_atom_site_type_symbol
_atom_site_fract_x
_atom_site_fract_y
_atom_site_fract_z
Zr1 Zr 0.0000 0.0000 0.5000
Zr2 Zr 0.0000 0.5000 0.0000
Pd1 Pd 0.5000 0.0000 0.0000
Bi1 Bi 0.5000 0.5000 0.5000
```


Record 6
VASP calculation (PBE) on a geometry-optimized BeP2ClO structure.

Properties
* ΔE to the lowest computed polymorph: 431.2 meV/atom
* total magnetic moment: 0.11 μB per formula unit
* formation energy (no corrections): 0.60 eV per atom

Geometry as CIF:
```
data_BeP2ClO
_cell_length_a 3.7525
_cell_length_b 3.7525
_cell_length_c 6.0726
_cell_angle_alpha 90.00
_cell_angle_beta 90.00
_cell_angle_gamma 90.00
_symmetry_space_group_name_H-M 'P 1'
_symmetry_Int_Tables_number 1
loop_
_symmetry_equiv_pos_as_xyz
'x,y,z'
loop_
_atom_site_label
_atom_site_type_symbol
_atom_site_fract_x
_atom_site_fract_y
_atom_site_fract_z
P1 P 0.5000 0.0000 0.0000
P2 P 0.0000 0.5000 0.0000
O1 O 0.0000 0.0000 0.0000
Cl1 Cl 0.0000 0.0000 0.5000
Be1 Be 0.5000 0.5000 0.5000
```


Record 7
VASP calculation (PBE) on a geometry-optimized Ti6Tl2N structure.

Properties
* ΔE to the lowest computed polymorph: 193.7 meV/atom
* total magnetic moment: 0.00 μB per formula unit
* formation energy (no corrections): -0.20 eV per atom

Geometry as CIF:
```
data_Ti6Tl2N
_cell_length_a 3.1339
_cell_length_b 7.3965
_cell_length_c 7.4910
_cell_angle_alpha 119.58
_cell_angle_beta 90.00
_cell_angle_gamma 90.00
_symmetry_space_group_name_H-M 'P 1'
_symmetry_Int_Tables_number 1
loop_
_symmetry_equiv_pos_as_xyz
'x,y,z'
loop_
_atom_site_label
_atom_site_type_symbol
_atom_site_fract_x
_atom_site_fract_y
_atom_site_fract_z
Ti1 Ti 0.0000 0.7832 0.7938
Ti2 Ti 0.5000 0.3396 0.3349
Ti3 Ti 0.0000 0.9894 0.2062
Ti4 Ti 0.0000 0.2362 0.0000
Ti5 Ti 0.5000 0.0047 0.6651
Ti6 Ti 0.5000 0.6075 0.0000
N1 N 0.5000 0.0367 0.0000
Tl1 Tl 0.0000 0.3252 0.6477
Tl2 Tl 0.0000 0.6775 0.3523
```


Record 8
VASP calculation (PBE) on a geometry-optimized Ca6Bi5Au structure.

Properties
* total magnetic moment: 0.00 μB per formula unit
* E_form: -732 meV per atom

Geometry as CIF:
```
data_Ca6Bi5Au
_cell_length_a 5.4904
_cell_length_b 7.9911
_cell_length_c 8.7335
_cell_angle_alpha 90.00
_cell_angle_beta 71.68
_cell_angle_gamma 90.00
_symmetry_space_group_name_H-M 'P 1'
_symmetry_Int_Tables_number 1
loop_
_symmetry_equiv_pos_as_xyz
'x,y,z'
loop_
_atom_site_label
_atom_site_type_symbol
_atom_site_fract_x
_atom_site_fract_y
_atom_site_fract_z
Au1 Au 0.0000 0.0000 0.0000
Bi1 Bi 0.0000 0.5000 0.0000
Bi2 Bi 0.6693 0.5000 0.6614
Bi3 Bi 0.3386 0.0000 0.3228
Bi4 Bi 0.3307 0.5000 0.3386
Bi5 Bi 0.6614 0.0000 0.6772
Ca1 Ca 0.5000 0.7607 0.0000
Ca2 Ca 0.5000 0.2393 0.0000
Ca3 Ca 0.8371 0.7624 0.3258
Ca4 Ca 0.8371 0.2376 0.3258
Ca5 Ca 0.1629 0.7624 0.6742
Ca6 Ca 0.1629 0.2376 0.6742
```


Among the records above, which one has the highest total magnetic moment? MnTl2Te


Number 4 is which compound? ReTcPb2